The following is a PBE calculation of an optimized crystal structure of Pm6In3Sn, from Alexandria via LeMat-Bulk.

Unit cell a=3.786 b=11.847 c=14.513 alpha=105.49 beta=90.00 gamma=90.00
Fractional positions:
1 Pm 0.750 0.510 0.681
2 Sn 0.250 0.956 0.322
3 In 0.750 0.102 0.045
4 Pm 0.250 0.141 0.868
5 Pm 0.250 0.178 0.236
6 In 0.250 0.898 0.955
7 In 0.250 0.618 0.138
8 Pm 0.250 0.611 0.914
9 In 0.750 0.382 0.862
10 Pm 0.750 0.389 0.086
11 Sn 0.750 0.044 0.678
12 In 0.750 0.633 0.512
13 Pm 0.750 0.736 0.326
14 Pm 0.750 0.859 0.132
15 Pm 0.750 0.131 0.468
16 Pm 0.750 0.822 0.764
17 Pm 0.250 0.264 0.674
18 Pm 0.250 0.490 0.319
19 Pm 0.250 0.869 0.532
20 In 0.250 0.367 0.488

Computed properties:
For the density of states at the Fermi level, the calculation gives 22.19 states/eV per cell. The calculation puts the formation energy at -0.32 eV/atom. The symmetry is P2_1/m, No. 11.